Record 1
Here is a relaxed Hg2AsF3 crystal from Alexandria via LeMat-Bulk. Energies are from GGA-PBE.

Lattice parameters (Å, degrees): 4.7270 8.0044 8.4486 79.83 88.97 87.91
Sites, in units of the cell vectors:
Hg 0.2437 0.1373 0.0314
Hg 0.2458 0.5690 0.1096
Hg 0.7542 0.4310 0.8904
Hg 0.7563 0.8627 0.9686
As 0.3448 0.2508 0.4665
As 0.6552 0.7492 0.5335
F 0.0169 0.7954 0.5501
F 0.2726 0.4054 0.5900
F 0.4095 0.0851 0.6335
F 0.5905 0.9149 0.3665
F 0.7274 0.5946 0.4100
F 0.9831 0.2046 0.4499

- E_form (uncorrected) (eV/atom) = -1.4017

Record 2
Here is a relaxed CsKRb7Na2 crystal from Alexandria via LeMat-Bulk. Energies are from GGA-PBE.

Lattice parameters (Å, degrees): 16.3871 16.3871 16.3871 152.72 152.72 38.96
Sites, in units of the cell vectors:
Cs 0.0000 0.0000 0.0000
K 0.2500 0.7500 0.5000
Rb 0.0692 0.5692 0.5000
Rb 0.1625 0.1625 0.0000
Rb 0.3461 0.3461 0.0000
Rb 0.4308 0.9308 0.5000
Rb 0.6539 0.6539 0.0000
Rb 0.7500 0.2500 0.5000
Rb 0.8375 0.8375 0.0000
Na 0.5856 0.0856 0.5000
Na 0.9144 0.4144 0.5000

- density of states at the Fermi level (states/eV/f.u.) = 9.3
- ΔH_f (0 K) (meV/atom) = 64

Record 3
Here is a relaxed TlCoC2 crystal from Alexandria via LeMat-Bulk. Energies are from GGA-PBE.

Lattice parameters (Å, degrees): 4.0331 4.0331 4.0331 60.00 60.00 60.00
Sites, in units of the cell vectors:
Tl 0.0000 0.0000 0.0000
Co 0.5000 0.5000 0.5000
C 0.2500 0.2500 0.2500
C 0.7500 0.7500 0.7500

- density of states at the Fermi level (states/eV/f.u.) = 2.8
- excess energy over the best structure of this formula in the dataset (meV per atom) = 1164
- ΔH_f (0 K) (meV/atom) = 2359